1.
VASP calculation (PBE-GGA) on a relaxed PmSc2Ir9 crystal.

Computed properties:
Volume = 17.3 A^3/atom
Final energy = -0.3171 hartree per atom
Formation enthalpy at 0 K = -0.53 eV/atom

Lattice parameters (Å, degrees): 5.272 5.272 9.160 73.28 73.28 60.00
Fractional positions:
Ir1 0.414 0.414 0.253
Ir2 0.586 0.586 0.747
Ir3 0.586 0.081 0.747
Ir4 0.500 0.500 0.500
Ir5 0.414 0.919 0.253
Ir6 0.919 0.414 0.253
Ir7 0.081 0.586 0.747
Ir8 0.334 0.334 0.998
Ir9 0.666 0.666 0.002
Pm1 0.000 0.000 0.000
Sc1 0.140 0.140 0.580
Sc2 0.860 0.860 0.420

***

2.
VASP calculation (PBE-GGA) on a relaxed PmScIr4 crystal.

Computed properties:
Volume = 17.9 A^3/atom
Final energy = -0.3112 hartree per atom
Formation enthalpy at 0 K = -0.71 eV/atom

Lattice parameters (Å, degrees): 5.335 5.335 5.335 60.00 60.00 60.00
Fractional positions:
Ir1 0.625 0.124 0.625
Ir2 0.625 0.625 0.124
Ir3 0.625 0.625 0.625
Ir4 0.124 0.625 0.625
Pm1 0.250 0.250 0.250
Sc1 0.000 0.000 0.000

***

3.
VASP calculation (PBE-GGA) on a relaxed PmScIr2 crystal.

Computed properties:
Volume = 19.1 A^3/atom
Final energy = -0.2928 hartree per atom
Formation enthalpy at 0 K = -0.77 eV/atom
Polymorph energy (0 for the lowest one) = 0 meV per atom

Lattice parameters (Å, degrees): 3.268 3.268 7.169 90.00 90.00 90.00
Fractional positions:
Ir1 0.000 0.000 0.778
Ir2 0.000 0.000 0.222
Pm1 0.500 0.500 0.500
Sc1 0.500 0.500 0.000

***

4.
VASP calculation (PBE-GGA) on a relaxed Pm4ScIr3 crystal.

Computed properties:
Volume = 23.5 A^3/atom
Final energy = -0.2626 hartree per atom
Formation enthalpy at 0 K = -0.66 eV/atom

Lattice parameters (Å, degrees): 6.022 8.452 8.452 82.71 69.13 69.13
Fractional positions:
Pm1 0.715 0.868 0.703
Pm2 0.215 0.703 0.868
Pm3 0.417 0.297 0.868
Pm4 0.083 0.132 0.703
Pm5 0.785 0.297 0.132
Pm6 0.583 0.703 0.132
Pm7 0.285 0.132 0.297
Pm8 0.917 0.868 0.297
Ir1 0.854 0.500 0.791
Ir2 0.146 0.500 0.209
Ir3 0.354 0.791 0.500
Ir4 0.250 0.000 0.000
Ir5 0.750 0.000 0.000
Ir6 0.646 0.209 0.500
Sc1 0.250 0.500 0.500
Sc2 0.750 0.500 0.500

***

5.
VASP calculation (PBE-GGA) on a relaxed PmScIr2 crystal.

Computed properties:
Volume = 19.4 A^3/atom
Final energy = -0.2904 hartree per atom
Formation enthalpy at 0 K = -0.70 eV/atom
Polymorph energy (0 for the lowest one) = 63 meV per atom

Lattice parameters (Å, degrees): 4.790 4.790 4.790 60.00 60.00 60.00
Fractional positions:
Pm1 0.500 0.500 0.500
Sc1 0.000 0.000 0.000
Ir1 0.250 0.250 0.250
Ir2 0.750 0.750 0.750

***

6.
VASP calculation (PBE-GGA) on a relaxed Pm2ScIr2 crystal.

Computed properties:
Volume = 23.4 A^3/atom
Final energy = -0.2731 hartree per atom
Formation enthalpy at 0 K = -0.72 eV/atom

Lattice parameters (Å, degrees): 4.123 6.335 9.741 90.31 77.78 71.01
Fractional positions:
Ir1 0.941 0.692 0.426
Ir2 0.631 0.860 0.878
Ir3 0.059 0.308 0.574
Ir4 0.369 0.140 0.122
Sc1 0.664 0.048 0.624
Sc2 0.336 0.952 0.376
Pm1 0.664 0.364 0.308
Pm2 0.336 0.636 0.692
Pm3 0.930 0.241 0.899
Pm4 0.070 0.759 0.101

***

7.
VASP calculation (PBE-GGA) on a relaxed PmSc3Ir crystal.

Computed properties:
Volume = 26.7 A^3/atom
Final energy = -0.2517 hartree per atom
Formation enthalpy at 0 K = -0.33 eV/atom

Lattice parameters (Å, degrees): 5.114 5.114 5.114 90.00 90.00 90.00
Fractional positions:
Sc1 0.000 0.000 0.500
Sc2 0.500 0.000 0.000
Sc3 0.000 0.500 0.000
Ir1 0.000 0.000 0.000
Pm1 0.500 0.500 0.500

***

8.
VASP calculation (PBE-GGA) on a relaxed Pm5Sc4Ir4 crystal.

Computed properties:
Volume = 23.8 A^3/atom
Final energy = -0.2612 hartree per atom
Formation enthalpy at 0 K = -0.61 eV/atom

Lattice parameters (Å, degrees): 4.415 8.651 8.651 86.27 75.22 75.22
Fractional positions:
Ir1 0.075 0.186 0.663
Ir2 0.261 0.663 0.814
Ir3 0.739 0.337 0.186
Ir4 0.925 0.814 0.337
Pm1 0.371 0.322 0.935
Pm2 0.307 0.065 0.322
Pm3 0.000 0.000 0.000
Pm4 0.693 0.935 0.678
Pm5 0.629 0.678 0.065
Sc1 0.592 0.303 0.514
Sc2 0.408 0.697 0.486
Sc3 0.106 0.486 0.303
Sc4 0.894 0.514 0.697

***

9.
VASP calculation (PBE-GGA) on a relaxed PmSc2Ir2 crystal.

Computed properties:
Volume = 21.7 A^3/atom
Final energy = -0.2872 hartree per atom
Formation enthalpy at 0 K = -0.79 eV/atom

Lattice parameters (Å, degrees): 4.279 4.279 6.657 108.75 108.75 90.00
Fractional positions:
Sc1 0.750 0.250 0.500
Sc2 0.250 0.750 0.500
Ir1 0.610 0.610 0.220
Ir2 0.390 0.390 0.780
Pm1 0.000 0.000 0.000

***

10.
VASP calculation (PBE-GGA) on a relaxed Pm2ScIr9 crystal.

Computed properties:
Volume = 18.0 A^3/atom
Final energy = -0.3101 hartree per atom
Formation enthalpy at 0 K = -0.47 eV/atom

Lattice parameters (Å, degrees): 5.297 5.297 9.387 73.61 73.61 60.00
Fractional positions:
Pm1 0.861 0.861 0.416
Pm2 0.139 0.139 0.584
Ir1 0.580 0.580 0.758
Ir2 0.500 0.500 0.500
Ir3 0.917 0.420 0.242
Ir4 0.420 0.420 0.242
Ir5 0.580 0.083 0.758
Ir6 0.083 0.580 0.758
Ir7 0.667 0.667 0.998
Ir8 0.420 0.917 0.242
Ir9 0.333 0.333 0.002
Sc1 0.000 0.000 0.000